VASP calculation (GGA+U) on a relaxed Ru2WOF crystal.

a b c (Å): 4.934 3.816 4.934
angles (deg): 90.00 90.00 90.00
Fractional positions:
Ru: 0.000 0.000 0.500
Ru: 0.500 0.000 0.000
O: 0.000 0.500 0.000
W: 0.000 0.000 0.000
F: 0.500 0.500 0.500

Computed properties:
SG	P4/mmm
total magnetic moment	2.8	μB per formula unit
total energy	-0.2117	Ha/atom